Compound: LiTiSi3O8
Source: Alexandria
Functional: PBE
Structure: relaxed

abc: 6.2320 9.4494 7.5006
angles: 116.19 101.59 94.32
Closest atoms and distances in Å follow each position.
Element x y z (fractional)
Li 0.3063 0.7785 0.2915  4 O 1.99-2.13
Li 0.6937 0.2215 0.7085  4 O 1.99-2.13
Ti 0.7180 0.6825 0.5511  4 O 1.86-2.03
Ti 0.2820 0.3175 0.4489  4 O 1.86-2.03
Si 0.8522 0.3935 0.1515  4 O 1.60-1.71
Si 0.8245 0.9169 0.3773  4 O 1.61-1.71
Si 0.5281 0.8717 0.9705  3 O 1.61-1.68
Si 0.4719 0.1283 0.0295  3 O 1.61-1.68
Si 0.1755 0.0831 0.6227  4 O 1.61-1.71
Si 0.1478 0.6065 0.8485  4 O 1.60-1.71
O 0.4627 0.2353 0.2637  1 Si 1.61
O 0.6761 0.2226 0.9825  2 Si 1.67-1.68
O 0.0808 0.5749 0.0402  1 O 1.47
O 0.9385 0.6375 0.7159  1 Si 1.60
O 0.3664 0.1674 0.5667  1 Si 1.61
O 0.9122 0.1135 0.5593  2 Si 1.70-1.71
O 0.2421 0.1061 0.8551  2 Si 1.62-1.66
O 0.7319 0.5316 0.2846  1 Si 1.60
O 0.2681 0.4684 0.7154  1 Si 1.60
O 0.7579 0.8939 0.1449  2 Si 1.62-1.66
O 0.0878 0.8865 0.4407  2 Si 1.70-1.71
O 0.6336 0.8326 0.4333  1 Si 1.61
O 0.0615 0.3625 0.2841  1 Si 1.60
O 0.9192 0.4251 0.9598  1 O 1.47
O 0.3239 0.7774 0.0175  2 Si 1.67-1.68
O 0.5373 0.7647 0.7363  1 Si 1.61

Summary:
Uncorrected energy ... -7.439 eV per atom
Energy above the lowest structure with this stoichiometry ... 295 meV/atom
Space-group type ... P-1, No. 2

=====

Compound: ZnAsRh2
Source: Alexandria
Functional: PBE
Structure: relaxed

abc: 4.3268 4.3268 4.3268
angles: 60.00 60.00 60.00
Closest atoms and distances in Å follow each position.
Element x y z (fractional)
As 0.5000 0.5000 0.5000  8 Rh 2.65
Rh 0.2500 0.2500 0.2500  4 As 2.65, 4 Zn 2.65
Rh 0.7500 0.7500 0.7500  4 As 2.65, 4 Zn 2.65
Zn 0.0000 0.0000 0.0000  8 Rh 2.65

Summary:
Uncorrected energy ... -5.461 eV per atom
Energy above the lowest structure with this stoichiometry ... 38 meV/atom
DFT formation energy ... -117 kJ/mol of formula units
DOS at the Fermi energy ... 5.16 states/eV/cell
Space-group type ... Fm-3m, No. 225

=====

Compound: Nd3SiPt3
Source: Alexandria
Functional: PBE
Structure: relaxed

abc: 4.2055 5.7758 14.2790
angles: 86.34 81.53 68.65
Closest atoms and distances in Å follow each position.
Element x y z (fractional)
Nd 0.5252 0.3360 0.6136  4 Si 3.06-3.34, 7 Pt 3.08-3.30
Nd 0.4748 0.6640 0.3864  4 Si 3.06-3.34, 7 Pt 3.08-3.30
Nd 0.2513 0.2671 0.2302  6 Pt 3.05-3.16, 2 Si 3.35
Nd 0.7487 0.7329 0.7698  6 Pt 3.05-3.16, 2 Si 3.35
Nd 0.3983 0.2802 0.9233  7 Pt 2.96-3.22
Nd 0.6017 0.7198 0.0767  7 Pt 2.96-3.22
Si 0.7626 0.0747 0.4001  4 Pt 2.43-2.68
Si 0.2374 0.9253 0.5999  4 Pt 2.43-2.68
Pt 0.8518 0.7504 0.5460  3 Si 2.43-2.68
Pt 0.1482 0.2496 0.4540  3 Si 2.43-2.68
Pt 0.1240 0.8303 0.9217  2 Pt 2.88-2.89, 7 Nd 2.96-3.21
Pt 0.8760 0.1697 0.0783  2 Pt 2.88-2.89, 7 Nd 2.96-3.21
Pt 0.9567 0.8444 0.2421  1 Si 2.56
Pt 0.0433 0.1556 0.7579  1 Si 2.56

Summary:
Uncorrected energy ... -6.494 eV per atom
DOS at the Fermi energy ... 9.48 states/eV/cell
Space-group type ... C2/m, No. 12

=====

Compound: PmHo2Au
Source: Alexandria
Functional: PBE
Structure: relaxed

abc: 3.6233 3.6233 8.5420
angles: 90.00 90.00 90.00
Closest atoms and distances in Å follow each position.
Element x y z (fractional)
Au 0.5000 0.5000 0.0000  8 Ho 3.09
Ho 0.0000 0.0000 0.7980  4 Au 3.09, 1 Ho 3.45
Ho 0.0000 0.0000 0.2020  4 Au 3.09, 1 Ho 3.45
Pm 0.5000 0.5000 0.5000  8 Ho 3.61, 4 Pm 3.62

Summary:
Uncorrected energy ... -4.703 eV per atom
Energy above the lowest structure with this stoichiometry ... 27 meV/atom
DFT formation energy ... -157 kJ/mol of formula units
DOS at the Fermi energy ... 5.69 states/eV/cell
Space-group type ... P4/mmm, No. 123

=====

Asked for spin magnetization across the records above, the calculation gives 0.08, 0.00, 0.00, 0.00 μB/atom in order.